(1)
Computed, not measured: a relaxed structure of Cd4In4Hg at the PBE level of DFT.

ΔH_f (0 K)	0.22	eV per formula unit
magnetization	0.00	μB per cell
mass density	8236	kg/m3

The structure in POSCAR format:
```
Cd4In4Hg
1.0
4.851 0.000 0.000
2.426 6.791 0.000
2.426 0.000 6.791
In Cd Hg
4 4 1
Direct
0.667 0.002 0.665
0.333 0.998 0.335
0.332 0.335 0.002
0.668 0.665 0.998
0.662 0.339 0.337
0.001 0.337 0.661
0.999 0.663 0.339
0.338 0.661 0.663
0.000 0.000 0.000
```

=====

(2)
Computed, not measured: a relaxed structure of Cd4In3Hg2 at the PBE level of DFT.

ΔH_f (0 K)	0.23	eV per formula unit
polymorph energy (0 for the lowest one)	0.000	eV/atom
magnetization	0.00	μB per cell
mass density	8819	kg/m3

The structure in POSCAR format:
```
Cd4In3Hg2
1.0
5.550 0.167 1.768
3.513 5.773 -1.909
1.296 -3.173 9.286
Cd In Hg
4 3 2
Direct
0.210 0.341 0.127
0.675 0.999 0.338
0.790 0.659 0.873
0.325 0.001 0.662
0.546 0.329 0.785
0.000 0.000 0.000
0.454 0.671 0.215
0.874 0.345 0.454
0.126 0.655 0.546
```

=====

(3)
Computed, not measured: a relaxed structure of Cd6In4Hg7 at the PBE level of DFT.

ΔH_f (0 K)	0.93	eV per formula unit
magnetization	0.00	μB per cell
mass density	9464	kg/m3

The structure in POSCAR format:
```
Cd6In4Hg7
1.0
7.856 0.000 -2.777
-3.928 6.803 -2.777
0.000 0.000 8.332
Hg Cd In
7 6 4
Direct
0.000 0.000 0.000
0.250 0.750 0.500
0.750 0.250 0.500
0.750 0.500 0.250
0.500 0.750 0.250
0.500 0.250 0.750
0.250 0.500 0.750
0.702 0.000 0.702
0.298 0.298 0.000
0.298 0.000 0.298
0.702 0.702 0.000
0.000 0.702 0.702
0.000 0.298 0.298
0.000 0.500 0.000
0.000 0.000 0.500
0.500 0.500 0.500
0.500 0.000 0.000
```

=====

(4)
Computed, not measured: a relaxed structure of Cd4InHg3 at the PBE level of DFT.

ΔH_f (0 K)	0.41	eV per formula unit
polymorph energy (0 for the lowest one)	0.029	eV/atom
magnetization	0.00	μB per cell
mass density	9214	kg/m3

The structure in POSCAR format:
```
Cd4InHg3
1.0
3.302 0.000 -0.417
-0.133 5.217 -1.058
-0.124 -0.489 12.314
Cd Hg In
4 3 1
Direct
0.717 0.263 0.434
0.106 0.203 0.212
0.894 0.797 0.788
0.283 0.737 0.566
0.159 0.754 0.319
0.841 0.246 0.681
0.000 0.500 0.000
0.500 0.000 0.000
```

=====

(5)
Computed, not measured: a relaxed structure of Cd4In5Hg2 at the PBE level of DFT.

ΔH_f (0 K)	0.54	eV per formula unit
polymorph energy (0 for the lowest one)	0.000	eV/atom
magnetization	0.00	μB per cell
mass density	8155	kg/m3

The structure in POSCAR format:
```
Cd4In5Hg2
1.0
-3.012 -0.969 0.463
0.887 -5.785 -6.325
3.764 0.585 14.651
In Hg Cd
5 2 4
Direct
0.194 0.962 0.388
0.500 0.000 0.000
0.814 0.694 0.628
0.186 0.306 0.372
0.806 0.038 0.612
0.437 0.463 0.875
0.563 0.537 0.125
0.942 0.153 0.884
0.663 0.552 0.327
0.058 0.847 0.116
0.337 0.448 0.673
```

=====

(6)
Computed, not measured: a relaxed structure of Cd5In12Hg3 at the PBE level of DFT.

ΔH_f (0 K)	3.30	eV per formula unit
magnetization	0.00	μB per cell
mass density	6764	kg/m3

The structure in POSCAR format:
```
Cd5In12Hg3
1.0
-5.952 13.547 0.342
-1.208 -5.577 -13.657
-7.134 -8.766 9.557
Cd In Hg
20 48 12
Direct
0.625 0.750 0.875
0.375 0.125 0.750
0.875 0.625 0.750
0.000 0.500 0.000
0.750 0.625 0.375
0.250 0.375 0.625
0.125 0.375 0.250
0.000 0.000 0.000
0.750 0.125 0.875
0.500 0.000 0.000
0.125 0.750 0.375
0.375 0.250 0.125
0.000 0.500 0.500
0.000 0.000 0.500
0.500 0.500 0.000
0.875 0.250 0.625
0.500 0.500 0.500
0.500 0.000 0.500
0.250 0.875 0.125
0.625 0.875 0.250
0.731 0.132 0.064
0.167 0.068 0.936
0.432 0.064 0.333
0.568 0.632 0.401
0.333 0.769 0.401
0.068 0.167 0.436
0.932 0.099 0.868
0.132 0.731 0.564
0.868 0.599 0.932
0.833 0.932 0.064
0.167 0.099 0.731
0.833 0.901 0.269
0.269 0.868 0.936
0.401 0.132 0.568
0.064 0.632 0.731
0.068 0.901 0.132
0.868 0.269 0.436
0.667 0.436 0.568
0.632 0.568 0.901
0.099 0.167 0.231
0.901 0.833 0.769
0.064 0.432 0.833
0.769 0.333 0.901
0.099 0.932 0.368
0.231 0.667 0.099
0.368 0.432 0.099
0.401 0.269 0.333
0.936 0.568 0.167
0.568 0.936 0.667
0.667 0.231 0.599
0.132 0.401 0.068
0.436 0.769 0.868
0.936 0.368 0.269
0.436 0.667 0.068
0.599 0.731 0.667
0.731 0.599 0.167
0.632 0.064 0.231
0.901 0.068 0.632
0.333 0.564 0.432
0.599 0.868 0.432
0.231 0.564 0.632
0.269 0.401 0.833
0.368 0.936 0.769
0.932 0.833 0.564
0.564 0.333 0.932
0.432 0.368 0.599
0.564 0.231 0.132
0.769 0.436 0.368
0.750 0.375 0.125
0.625 0.250 0.375
0.125 0.875 0.750
0.750 0.875 0.625
0.250 0.125 0.375
0.875 0.750 0.125
0.875 0.125 0.250
0.125 0.250 0.875
0.375 0.750 0.625
0.625 0.375 0.750
0.250 0.625 0.875
0.375 0.625 0.250
```

=====

no.,volume (A^3/atom)
1,24.9
2,25.0
3,26.2
4,26.3
5,26.4
6,31.2